Entry 1:
{
  "formula": "LaInCo2",
  "functional": "meta-GGA SCAN",
  "state": "single point on PBEsol structure",
  "lattice": [[1.974, 1.139, 5.908], [-1.974, 1.139, 5.908], [0.000, -2.279, 5.908]],
  "species": ["La", "In", "Co", "Co"],
  "frac_coords": [[0.000, 0.000, 0.000], [0.811, 0.811, 0.811], [0.226, 0.226, 0.226], [0.558, 0.558, 0.558]],
  "ef_ev_per_atom": -0.08,
  "space_group": "R3m",
  "dos_ef_per_ev_cell": 2.356
}

=====

Entry 2:
{
  "formula": "RbLaIn2Co",
  "functional": "meta-GGA SCAN",
  "state": "single point on PBEsol structure",
  "lattice": [[5.013, 0.000, 0.000], [0.000, 5.013, 0.000], [0.000, 0.000, 5.297]],
  "species": ["Rb", "La", "In", "In", "Co"],
  "frac_coords": [[0.000, 0.000, 0.000], [0.500, 0.500, 0.000], [0.000, 0.500, 0.500], [0.500, 0.000, 0.500], [0.000, 0.000, 0.500]],
  "ef_ev_per_atom": 0.23,
  "space_group": "P4/mmm",
  "dos_ef_per_ev_cell": 3.721
}

=====

Entry 3:
{
  "formula": "LiIn3Co",
  "functional": "meta-GGA SCAN",
  "state": "single point on PBEsol structure",
  "lattice": [[4.727, 0.000, 0.000], [0.000, 4.727, 0.000], [0.000, 0.000, 4.727]],
  "species": ["Li", "In", "In", "In", "Co"],
  "frac_coords": [[0.000, 0.000, 0.000], [0.000, 0.000, 0.500], [0.000, 0.500, 0.000], [0.500, 0.000, 0.000], [0.500, 0.500, 0.500]],
  "ef_ev_per_atom": 0.69,
  "space_group": "Pm-3m",
  "dos_ef_per_ev_cell": 2.993
}

=====

Entry 4:
{
  "formula": "LiIn2Co",
  "functional": "meta-GGA SCAN",
  "state": "single point on PBEsol structure",
  "lattice": [[3.405, 0.000, 0.000], [0.000, 3.405, 0.000], [0.000, 0.000, 5.780]],
  "species": ["Li", "In", "In", "Co"],
  "frac_coords": [[0.000, 0.000, 0.000], [0.000, 0.000, 0.433], [0.500, 0.500, 0.772], [0.500, 0.500, 0.239]],
  "ef_ev_per_atom": 0.05,
  "space_group": "P4mm",
  "dos_ef_per_ev_cell": 2.395
}

=====

Entry 5:
{
  "formula": "LiIn2Co",
  "functional": "meta-GGA SCAN",
  "state": "single point on PBEsol structure",
  "lattice": [[3.180, 0.000, 0.000], [0.000, 3.180, 0.000], [0.000, 0.000, 6.340]],
  "species": ["Li", "In", "In", "Co"],
  "frac_coords": [[0.000, 0.000, 0.000], [0.500, 0.500, 0.264], [0.500, 0.500, 0.736], [0.000, 0.000, 0.500]],
  "ef_ev_per_atom": -0.08,
  "space_group": "P4/mmm",
  "dos_ef_per_ev_cell": 1.185
}

=====

Entry 6:
{
  "formula": "Li2InCo",
  "functional": "meta-GGA SCAN",
  "state": "single point on PBEsol structure",
  "lattice": [[2.802, 0.000, 0.000], [0.000, 4.598, 0.000], [-0.369, 0.000, 4.571]],
  "species": ["Li", "Li", "In", "Co"],
  "frac_coords": [[0.225, 0.000, 0.272], [0.775, 0.000, 0.728], [0.500, 0.500, 0.000], [0.000, 0.500, 0.500]],
  "ef_ev_per_atom": 0.00,
  "space_group": "P2/m",
  "dos_ef_per_ev_cell": 1.330
}

=====

The following DFT total energy values (in eV/atom) correspond, in order, to the records above: -27.853, -29.354, -23.282, -21.570, -21.696, -13.867.